1.
Pm2Ni5B2 GGA-PBE optimized geometry; size of the total moment = 0.00 μB per atom; energy = -6.043 eV/atom; volume = 13.85 A^3/atom; energy of formation from the pure elements = -0.29 eV/atom; symmetry = No. 123
1.0
-2.8110 2.1066 1.2273
-0.4601 -2.2978 2.8903
5.7946 4.9173 4.8317
Ni B Pm
5 2 2
direct
0.5000 0.0000 0.2608
0.5000 0.0000 0.7392
0.0000 0.5000 0.7392
0.5000 0.5000 0.5000
0.0000 0.5000 0.2608
0.5000 0.5000 0.1737
0.5000 0.5000 0.8263
0.0000 0.0000 0.5000
0.0000 0.0000 0.0000

***

2.
PmAgSbH GGA-PBE optimized geometry; size of the total moment = 0.00 μB per atom; energy = -4.373 eV/atom; volume = 19.32 A^3/atom; symmetry = No. 129
1.0
4.2988 0.0000 0.0000
0.0000 4.2988 0.0000
0.0000 0.0000 8.3645
H Pm Sb Ag
2 2 2 2
direct
0.0000 0.0000 0.0000
0.5000 0.5000 0.0000
0.5000 0.0000 0.1401
0.0000 0.5000 0.8599
0.0000 0.5000 0.2726
0.5000 0.0000 0.7274
0.0000 0.0000 0.5000
0.5000 0.5000 0.5000

***

3.
ScIn2Pd4 GGA-PBE optimized geometry; size of the total moment = 0.00 μB per atom; energy = -5.122 eV/atom; volume = 18.98 A^3/atom; energy of formation from the pure elements = -0.47 eV/atom; symmetry = No. 139
1.0
-1.5533 4.2127 -1.4858
-3.4835 -2.1270 -2.3891
-0.9938 -0.6538 6.7122
Pd In Sc
4 2 1
direct
0.3781 0.8781 0.7562
0.8781 0.3781 0.7562
0.6219 0.1219 0.2438
0.1219 0.6219 0.2438
0.2638 0.2638 0.5277
0.7362 0.7362 0.4723
0.0000 0.0000 0.0000

***

4.
SrTlFe2I8 GGA-PBE optimized geometry; size of the total moment = 0.75 μB per atom; energy = -3.359 eV/atom; volume = 44.63 A^3/atom; symmetry = No. 147
1.0
-0.2026 -6.8114 3.1148
6.4931 3.7076 -0.4814
-1.8738 4.5606 9.8510
Fe Sr Tl I
2 1 1 8
direct
0.6667 0.3333 0.2378
0.3333 0.6667 0.7622
0.0000 0.0000 0.5000
0.0000 0.0000 0.0000
0.3375 0.3386 0.3078
0.0011 0.6625 0.3078
0.6667 0.3333 0.0071
0.6614 0.9989 0.3078
0.3333 0.6667 0.9929
0.9989 0.3375 0.6922
0.3386 0.0011 0.6922
0.6625 0.6614 0.6922

***

5.
CuTcS2 GGA-PBE optimized geometry; size of the total moment = 0.50 μB per atom; energy = -5.861 eV/atom; relative energy among the computed polymorphs = 9.3 meV per atom; volume = 18.27 A^3/atom; symmetry = No. 166
1.0
3.9777 -5.9442 1.8025
6.2236 -3.9574 0.1017
5.5868 -3.3716 3.4387
Tc S Cu
1 2 1
direct
0.5000 0.5000 0.5000
0.8987 0.8987 0.8987
0.1013 0.1013 0.1013
0.0000 0.0000 0.0000

***

6.
TiZnC2S GGA-PBE optimized geometry; size of the total moment = 0.00 μB per atom; energy = -4.793 eV/atom; volume = 29.18 A^3/atom; symmetry = No. 123
1.0
-1.2125 0.8211 -3.4978
-9.2731 -3.3210 2.4350
-0.9478 3.4877 1.1473
C S Ti Zn
2 1 1 1
direct
0.0000 0.0000 0.5000
0.5000 0.0000 0.0000
0.5000 0.5000 0.5000
0.0000 0.0000 0.0000
0.0000 0.5000 0.0000

***

7.
Tb3Cd2Hg6 GGA-PBE optimized geometry; size of the total moment = 0.00 μB per atom; energy = -1.763 eV/atom; volume = 26.58 A^3/atom; energy of formation from the pure elements = -0.17 eV/atom; symmetry = No. 139
1.0
4.2248 0.0000 0.0000
0.0000 4.2248 0.0000
-2.1124 -2.1124 16.3811
Tb Hg Cd
3 6 2
direct
0.1783 0.1783 0.3566
0.8217 0.8217 0.6434
0.0000 0.0000 0.0000
0.0711 0.5711 0.1421
0.9289 0.4289 0.8579
0.2729 0.2729 0.5459
0.5711 0.0711 0.1421
0.4289 0.9289 0.8579
0.7271 0.7271 0.4541
0.3619 0.3619 0.7238
0.6381 0.6381 0.2762

***

8.
P2PtNCl GGA-PBE optimized geometry; size of the total moment = 0.00 μB per atom; energy = -4.279 eV/atom; relative energy among the computed polymorphs = 0.0 meV per atom; volume = 14.14 A^3/atom; symmetry = No. 123
1.0
-3.2271 0.4464 2.6464
-2.2479 -2.7106 -2.2839
1.4014 -3.0332 2.2206
Cl P Pt N
1 2 1 1
direct
0.0000 0.0000 0.5000
0.5000 0.0000 0.0000
0.0000 0.5000 0.0000
0.5000 0.5000 0.5000
0.0000 0.0000 0.0000

***

9.
Te2Se GGA-PBE optimized geometry; size of the total moment = 0.00 μB per atom; energy = -3.183 eV/atom; relative energy among the computed polymorphs = 32.1 meV per atom; volume = 36.80 A^3/atom; symmetry = No. 58
1.0
-2.9857 2.1002 -1.6486
-2.6962 -4.4986 -0.8480
-4.4851 0.9329 9.3115
Se Te
2 4
direct
0.0000 0.0000 0.0000
0.5000 0.5000 0.5000
0.5000 0.6708 0.8993
0.5000 0.3292 0.1007
0.0000 0.8292 0.3993
0.0000 0.1708 0.6007

***

10.
NpSi6Ni6 GGA-PBE optimized geometry; size of the total moment = 0.31 μB per atom; energy = -6.577 eV/atom; volume = 12.85 A^3/atom; symmetry = No. 65
1.0
4.9996 -0.1124 0.0000
-2.4129 4.3803 0.0000
0.0000 0.0000 7.7220
Ni Si Np
6 6 1
direct
0.0000 0.5000 0.2545
0.0000 0.5000 0.7455
0.5000 0.5000 0.2530
0.5000 0.0000 0.2545
0.5000 0.5000 0.7470
0.5000 0.0000 0.7455
0.3321 0.6679 0.0000
0.6660 0.3340 0.5000
0.6679 0.3321 0.0000
0.0000 0.0000 0.3498
0.3340 0.6660 0.5000
0.0000 0.0000 0.6502
0.0000 0.0000 0.0000

***

11.
TaAlFe2 GGA-PBE optimized geometry; size of the total moment = 0.61 μB per atom; energy = -7.671 eV/atom; volume = 14.79 A^3/atom; energy of formation from the pure elements = 0.46 eV/atom; symmetry = No. 122
1.0
6.6568 0.0000 0.0000
0.0000 6.6568 0.0000
3.3284 3.3284 2.6692
Ta Fe Al
2 4 2
direct
0.0000 0.0000 0.0000
0.7500 0.2500 0.5000
0.1268 0.6250 0.2500
0.6232 0.1250 0.2500
0.8750 0.8732 0.7500
0.3750 0.3768 0.7500
0.2500 0.7500 0.5000
0.5000 0.5000 0.0000

***

12.
VCo4H GGA-PBE optimized geometry; size of the total moment = 0.51 μB per atom; energy = -6.829 eV/atom; volume = 9.66 A^3/atom; symmetry = No. 63
1.0
3.6615 0.0000 -0.9334
0.0000 5.0205 0.0000
-0.3215 0.0000 6.3869
Co H V
8 2 2
direct
0.6982 0.0371 0.3965
0.6982 0.5240 0.3964
0.5000 0.5306 0.0000
0.1063 0.7806 0.2126
0.5000 0.0306 0.0000
0.3018 0.5371 0.6035
0.8937 0.2806 0.7874
0.3018 0.0240 0.6036
0.4015 0.2806 0.8030
0.5985 0.7806 0.1970
0.8958 0.7806 0.7915
0.1042 0.2806 0.2085